# 1
# PBE Li4Tb2Cl9, optimized geometry
data_Li4Tb2Cl9
_cell_length_a 6.6515
_cell_length_b 6.6515
_cell_length_c 17.8755
_cell_angle_alpha 90.00
_cell_angle_beta 90.00
_cell_angle_gamma 120.00
_space_group_name_H-M_alt 'P -3 c 1'
_space_group_IT_number 165
_space_group_name_Hall '-P 3 2"c'
loop_
_atom_site_label
_atom_site_type_symbol
_atom_site_fract_x
_atom_site_fract_y
_atom_site_fract_z
_atom_site_occupancy
Li1 Li 0.3333 0.6667 0.1686 1
Li2 Li 0.3333 0.6667 0.4845 1
Tb1 Tb 0.0000 0.0000 0.1560 1
Cl1 Cl 0.0000 0.3301 0.2500 1
Cl2 Cl 0.0211 0.3627 0.5832 1
# Uncorrected energy ... -4.166 eV/atom
# Total magnetization ... 2.00 μB per cell
# Formation energy without anion corrections ... -1.930 eV per atom

# 2
# PBE SiAgS2, optimized geometry
data_SiAgS2
_cell_length_a 5.5092
_cell_length_b 5.5092
_cell_length_c 11.7798
_cell_angle_alpha 90.00
_cell_angle_beta 90.00
_cell_angle_gamma 90.00
_space_group_name_H-M_alt 'I -4 2 d'
_space_group_IT_number 122
_space_group_name_Hall 'I -4 2bw'
loop_
_atom_site_label
_atom_site_type_symbol
_atom_site_fract_x
_atom_site_fract_y
_atom_site_fract_z
_atom_site_occupancy
Si1 Si 0.0000 0.0000 0.0000 1
Ag1 Ag 0.0000 0.0000 0.5000 1
S1 S 0.2016 0.2500 0.1250 1
# Uncorrected energy ... -4.247 eV/atom
# Total magnetization ... 0.00 μB per cell
# Formation energy without anion corrections ... -0.114 eV per atom

# 3
# PBE BeZn, optimized geometry
data_BeZn
_cell_length_a 8.0264
_cell_length_b 8.0264
_cell_length_c 4.0228
_cell_angle_alpha 90.00
_cell_angle_beta 90.00
_cell_angle_gamma 90.00
_space_group_name_H-M_alt 'I 4/m c m'
_space_group_IT_number 140
_space_group_name_Hall '-I 4 2c'
loop_
_atom_site_label
_atom_site_type_symbol
_atom_site_fract_x
_atom_site_fract_y
_atom_site_fract_z
_atom_site_occupancy
Be1 Be 0.0922 0.4078 0.0000 1
Zn1 Zn 0.1921 0.3079 0.5000 1
# Uncorrected energy ... -2.247 eV/atom
# Total magnetization ... 0.00 μB per cell